1.
An optimized crystal structure of BaTlBr2, computed with PBE.

Crystal system = orthorhombic
Energy above the most stable polymorph in this dataset = 0.0668 eV per atom
D(E_F) = 2.22 states/eV per cell
Uncorrected formation energy = -1266 meV per atom
Spin magnetization = 0.00 Bohr magnetons per cell
Symmetry = Pmmm

Lattice parameters (Å, degrees): 4.600 5.066 5.760 90.00 90.00 90.00
Positions (direct):
Ba 0.000 0.000 0.000
Tl 0.000 0.500 0.500
Br 0.500 0.000 0.500
Br 0.500 0.500 0.000

2.
An optimized crystal structure of Y3Cu2Au4, computed with PBE.

Crystal system = monoclinic
ΔH_f (0 K) = -5.764 eV per formula unit
D(E_F) = 4.79 states/eV per cell
Spin magnetization = 0.00 Bohr magnetons per cell
Symmetry = C2/m

Lattice parameters (Å, degrees): 5.751 5.751 8.603 112.51 112.51 47.00
Positions (direct):
Y 0.000 0.000 0.000
Y 0.335 0.335 0.333
Y 0.665 0.665 0.667
Cu 0.390 0.390 0.715
Cu 0.610 0.610 0.285
Au 0.062 0.062 0.384
Au 0.285 0.285 0.935
Au 0.715 0.715 0.065
Au 0.938 0.938 0.616